No. 1
# Cr2Ge2H | Alexandria | GGA-PBE | optimized geometry
# - Mass density: 6.22 g/cm3
# - ΔE to the lowest computed polymorph: 0.372 eV/atom
data_Cr2Ge2H
_chemical_formula_sum 'Cr4 Ge4 H2'
_space_group_name_H-M_alt 'P 4/m b m'
_space_group_IT_number 127
_space_group_name_Hall '-P 4 2ab'
_cell_length_a 5.7506
_cell_length_b 5.7506
_cell_length_c 4.0414
_cell_angle_alpha 90.00
_cell_angle_beta 90.00
_cell_angle_gamma 90.00
loop_
_atom_site_label
_atom_site_fract_x
_atom_site_fract_y
_atom_site_fract_z
Cr1 0.1585 0.3415 0.0000
Ge1 0.1628 0.6628 0.5000
H1 0.0000 0.0000 0.5000

No. 2
# PrLuZnAu | Alexandria | GGA-PBE | optimized geometry
# - Mass density: 10.02 g/cm3
# - Calculated formation energy: -543 meV/atom
data_PrLuZnAu
_chemical_formula_sum 'Pr4 Lu4 Zn4 Au4'
_space_group_name_H-M_alt 'F -4 3 m'
_space_group_IT_number 216
_space_group_name_Hall 'F -4 2 3'
_cell_length_a 7.2640
_cell_length_b 7.2640
_cell_length_c 7.2640
_cell_angle_alpha 90.00
_cell_angle_beta 90.00
_cell_angle_gamma 90.00
loop_
_atom_site_label
_atom_site_fract_x
_atom_site_fract_y
_atom_site_fract_z
Pr1 0.0000 0.0000 0.0000
Lu1 0.0000 0.0000 0.5000
Zn1 0.2500 0.2500 0.7500
Au1 0.2500 0.2500 0.2500

No. 3
# Pm3Pd2Pb | Alexandria | GGA-PBE | optimized geometry
# - Mass density: 9.28 g/cm3
# - Calculated formation energy: -671 meV/atom
data_Pm3Pd2Pb
_chemical_formula_sum 'Pm3 Pd2 Pb1'
_space_group_name_H-M_alt 'P 4/m m m'
_space_group_IT_number 123
_space_group_name_Hall '-P 4 2'
_cell_length_a 3.6053
_cell_length_b 3.6053
_cell_length_c 11.7657
_cell_angle_alpha 90.00
_cell_angle_beta 90.00
_cell_angle_gamma 90.00
loop_
_atom_site_label
_atom_site_fract_x
_atom_site_fract_y
_atom_site_fract_z
Pm1 0.0000 0.0000 0.0000
Pm2 0.0000 0.0000 0.3044
Pd1 0.5000 0.5000 0.1504
Pb1 0.5000 0.5000 0.5000

No. 4
# La2ZrMo | Alexandria | GGA-PBE | optimized geometry
# - Mass density: 7.61 g/cm3
# - ΔE to the lowest computed polymorph: 0.366 eV/atom
# - Calculated formation energy: 564 meV/atom
data_La2ZrMo
_chemical_formula_sum 'La8 Zr4 Mo4'
_space_group_name_H-M_alt 'F m -3 m'
_space_group_IT_number 225
_space_group_name_Hall '-F 4 2 3'
_cell_length_a 7.4032
_cell_length_b 7.4032
_cell_length_c 7.4032
_cell_angle_alpha 90.00
_cell_angle_beta 90.00
_cell_angle_gamma 90.00
loop_
_atom_site_label
_atom_site_fract_x
_atom_site_fract_y
_atom_site_fract_z
La1 0.2500 0.2500 0.2500
Zr1 0.0000 0.0000 0.0000
Mo1 0.0000 0.0000 0.5000

No. 5
# GeOsNF2 | Alexandria | GGA-PBE | optimized geometry
# - Mass density: 7.97 g/cm3
# - ΔE to the lowest computed polymorph: 0.721 eV/atom
# - Formation energy from raw total energies: 0.604 eV/atom
data_GeOsNF2
_chemical_formula_sum 'Ge1 Os1 N1 F2'
_space_group_name_H-M_alt 'P 4/m m m'
_space_group_IT_number 123
_space_group_name_Hall '-P 4 2'
_cell_length_a 4.0631
_cell_length_b 4.0631
_cell_length_c 3.9738
_cell_angle_alpha 90.00
_cell_angle_beta 90.00
_cell_angle_gamma 90.00
loop_
_atom_site_label
_atom_site_fract_x
_atom_site_fract_y
_atom_site_fract_z
Ge1 0.0000 0.0000 0.0000
Os1 0.5000 0.5000 0.5000
N1 0.0000 0.0000 0.5000
F1 0.0000 0.5000 0.0000